Record 1
An optimized crystal structure of Dy6YHo8. Source: Alexandria via LeMat-Bulk, functional GGA-PBE.

Calculated values
ΔE to the lowest computed polymorph in meV/atom: 187
Energy of formation from the pure elements in eV per formula unit: 4.8
M_tot in Bohr magnetons per cell: 0.8

Unit cell a=12.6447 b=12.6447 c=3.5692 alpha=90.00 beta=90.00 gamma=120.00
Space group P-3 (No. 147)
Symmetry-distinct sites (fractional):
Dy: 0.1115 0.4933 0.0916 [6 per cell]
Y: 0.0000 0.0000 0.5000 [1 per cell]
Ho: 0.1044 0.7651 0.5074 [6 per cell]
Ho: 0.3333 0.6667 0.5977 [2 per cell]

Record 2
An optimized crystal structure of Cr2CuMoP. Source: Alexandria via LeMat-Bulk, functional GGA-PBE.

Calculated values
Energy of formation from the pure elements in eV per formula unit: 3.9
M_tot in Bohr magnetons per cell: 0.0

Unit cell a=4.158 b=4.158 c=4.468 alpha=90.00 beta=90.00 gamma=90.00
Space group P4/mmm (No. 123)
Symmetry-distinct sites (fractional):
Cr: 0.000 0.500 0.000 [2 per cell]
Cu: 0.000 0.000 0.500 [1 per cell]
Mo: 0.500 0.500 0.500 [1 per cell]
P: 0.500 0.500 0.000 [1 per cell]

Record 3
An optimized crystal structure of CaErH. Source: Alexandria via LeMat-Bulk, functional GGA-PBE.

Calculated values
ΔE to the lowest computed polymorph in meV/atom: 0
M_tot in Bohr magnetons per cell: 0.0

Unit cell a=3.678 b=6.450 c=5.992 alpha=90.00 beta=90.00 gamma=90.00
Space group Pmn2_1 (No. 31)
Symmetry-distinct sites (fractional):
Ca: 0.000 0.091 0.000 [2 per cell]
Er: 0.000 0.432 0.471 [2 per cell]
H: 0.000 0.432 0.101 [2 per cell]

Record 4
An optimized crystal structure of Zn3InAu4. Source: Alexandria via LeMat-Bulk, functional GGA-PBE.

Calculated values
Energy of formation from the pure elements in eV per formula unit: -1.3
M_tot in Bohr magnetons per cell: 0.0

Unit cell a=9.007 b=6.827 c=4.509 alpha=90.00 beta=90.00 gamma=90.00
Space group Pmma (No. 51)
Symmetry-distinct sites (fractional):
Zn: 0.000 0.000 0.000 [2 per cell]
Zn: 0.250 0.000 0.479 [2 per cell]
Zn: 0.250 0.500 0.486 [2 per cell]
In: 0.000 0.500 0.000 [2 per cell]
Au: 0.000 0.232 0.500 [4 per cell]
Au: 0.250 0.232 0.980 [4 per cell]

Record 5
An optimized crystal structure of Tb3CeNd3Te8. Source: Alexandria via LeMat-Bulk, functional GGA-PBE.

Calculated values
M_tot in Bohr magnetons per cell: 2.8
Formation energy (no corrections) in eV per atom: -1.4053

Unit cell a=15.320 b=8.855 c=8.845 alpha=90.00 beta=125.18 gamma=90.00
Space group C2/m (No. 12)
Symmetry-distinct sites (fractional):
Tb: 0.000 0.000 0.000 [2 per cell]
Tb: 0.250 0.250 0.000 [4 per cell]
Ce: 0.000 0.500 0.000 [2 per cell]
Nd: 0.000 0.500 0.500 [2 per cell]
Nd: 0.250 0.250 0.500 [4 per cell]
Te: 0.003 0.238 0.749 [8 per cell]
Te: 0.242 0.000 0.748 [4 per cell]
Te: 0.247 0.000 0.240 [4 per cell]

Record 6
An optimized crystal structure of Na2TbSi3Au12. Source: Alexandria via LeMat-Bulk, functional GGA-PBE.

Calculated values
M_tot in Bohr magnetons per cell: 0.0
Formation energy (no corrections) in eV per atom: -0.0858

Unit cell a=9.0412 b=9.0412 c=16.4729 alpha=90.00 beta=90.00 gamma=120.00
Space group R-3m (No. 166, hexagonal axes)
Symmetry-distinct sites (fractional):
Na: 0.0000 0.0000 0.0837 [6 per cell]
Tb: 0.0000 0.0000 0.5000 [3 per cell]
Si: 0.0000 0.5000 0.0000 [9 per cell]
Au: 0.0358 0.5179 0.3202 [18 per cell]
Au: 0.0408 0.5204 0.8532 [18 per cell]

Record 7
An optimized crystal structure of CaCdCl2. Source: Alexandria via LeMat-Bulk, functional GGA-PBE.

Calculated values
ΔE to the lowest computed polymorph in meV/atom: 472
M_tot in Bohr magnetons per cell: 0.0
Formation energy (no corrections) in eV per atom: -1.1666

Unit cell a=4.380 b=4.380 c=10.558 alpha=90.00 beta=90.00 gamma=90.00
Space group I-4m2 (No. 119)
Symmetry-distinct sites (fractional):
Ca: 0.000 0.000 0.000 [2 per cell]
Cd: 0.000 0.500 0.750 [2 per cell]
Cl: 0.000 0.000 0.500 [2 per cell]
Cl: 0.000 0.500 0.250 [2 per cell]

Record 8
An optimized crystal structure of K2SrNiH6. Source: Alexandria via LeMat-Bulk, functional GGA-PBE.

Calculated values
E in eV per atom: -3.17
M_tot in Bohr magnetons per cell: 0.0

Unit cell a=5.7444 b=5.7444 c=6.2339 alpha=90.00 beta=90.00 gamma=120.00
Space group P-3m1 (No. 164)
Symmetry-distinct sites (fractional):
K: 0.3333 0.6667 0.3706 [2 per cell]
Sr: 0.0000 0.0000 0.0000 [1 per cell]
Ni: 0.0000 0.0000 0.5000 [1 per cell]
H: 0.1273 0.2546 0.6511 [6 per cell]

Record 9
An optimized crystal structure of PmGe5. Source: Alexandria via LeMat-Bulk, functional GGA-PBE.

Calculated values
ΔE to the lowest computed polymorph in meV/atom: 145
Energy of formation from the pure elements in eV per formula unit: -0.7
M_tot in Bohr magnetons per cell: 0.0

Unit cell a=4.953 b=13.437 c=3.733 alpha=90.00 beta=90.00 gamma=90.00
Space group Cmmm (No. 65)
Symmetry-distinct sites (fractional):
Pm: 0.000 0.000 0.000 [2 per cell]
Ge: 0.000 0.193 0.500 [4 per cell]
Ge: 0.000 0.345 0.000 [4 per cell]
Ge: 0.000 0.500 0.500 [2 per cell]

Record 10
An optimized crystal structure of Te5PCl2. Source: Alexandria via LeMat-Bulk, functional GGA-PBE.

Calculated values
M_tot in Bohr magnetons per cell: 0.0
Formation energy (no corrections) in eV per atom: -0.0826

Unit cell a=6.390 b=6.390 c=7.597 alpha=101.70 beta=101.53 gamma=91.71
Space group P1 (No. 1)
Symmetry-distinct sites (fractional):
Te: 0.000 0.000 0.000 [1 per cell]
Te: 0.000 0.492 0.973 [1 per cell]
Te: 0.277 0.554 0.310 [1 per cell]
Te: 0.503 0.012 0.009 [1 per cell]
Te: 0.511 0.502 0.996 [1 per cell]
P: 0.675 0.879 0.734 [1 per cell]
Cl: 0.661 0.124 0.590 [1 per cell]
Cl: 0.991 0.589 0.507 [1 per cell]

Record 11
An optimized crystal structure of Er2Hf2N3. Source: Alexandria via LeMat-Bulk, functional GGA-PBE.

Calculated values
M_tot in Bohr magnetons per cell: 0.0
Formation energy (no corrections) in eV per atom: -1.5471

Unit cell a=11.337 b=3.353 c=5.686 alpha=90.00 beta=105.14 gamma=90.00
Space group C2/m (No. 12)
Symmetry-distinct sites (fractional):
Er: 0.120 0.000 0.355 [4 per cell]
Hf: 0.139 0.500 0.852 [4 per cell]
N: 0.000 0.500 0.500 [2 per cell]
N: 0.249 0.000 0.760 [4 per cell]

Record 12
An optimized crystal structure of NaTl2SeCl6. Source: Alexandria via LeMat-Bulk, functional GGA-PBE.

Calculated values
M_tot in Bohr magnetons per cell: 6.0
Formation energy (no corrections) in eV per atom: -0.7631

Unit cell a=7.4408 b=7.4408 c=37.7121 alpha=90.00 beta=90.00 gamma=120.00
Space group R-3m (No. 166, hexagonal axes)
Symmetry-distinct sites (fractional):
Na: 0.0000 0.0000 0.0874 [6 per cell]
Tl: 0.0000 0.0000 0.2272 [6 per cell]
Tl: 0.0000 0.0000 0.3557 [6 per cell]
Se: 0.0000 0.0000 0.0000 [3 per cell]
Se: 0.0000 0.0000 0.5000 [3 per cell]
Cl: 0.0108 0.5054 0.3765 [18 per cell]
Cl: 0.0271 0.5135 0.2039 [18 per cell]

Record 13
An optimized crystal structure of YZr2Fe. Source: Alexandria via LeMat-Bulk, functional GGA-PBE.

Calculated values
ΔE to the lowest computed polymorph in meV/atom: 379
Energy of formation from the pure elements in eV per formula unit: 1.5
M_tot in Bohr magnetons per cell: 0.9

Unit cell a=6.800 b=6.816 c=3.682 alpha=90.00 beta=90.00 gamma=90.00
Space group Cmmm (No. 65)
Symmetry-distinct sites (fractional):
Y: 0.000 0.000 0.000 [2 per cell]
Zr: 0.250 0.250 0.500 [4 per cell]
Fe: 0.000 0.500 0.000 [2 per cell]

Record 14
An optimized crystal structure of KBi2As2. Source: Alexandria via LeMat-Bulk, functional GGA-PBE.

Calculated values
ΔE to the lowest computed polymorph in meV/atom: 89
Energy of formation from the pure elements in eV per formula unit: -0.3
M_tot in Bohr magnetons per cell: 0.0

Unit cell a=4.694 b=4.694 c=14.055 alpha=90.00 beta=90.00 gamma=90.00
Space group I4/mmm (No. 139)
Symmetry-distinct sites (fractional):
K: 0.000 0.000 0.000 [2 per cell]
Bi: 0.000 0.500 0.250 [4 per cell]
As: 0.000 0.000 0.414 [4 per cell]

Record 15
An optimized crystal structure of Li2MnIn2. Source: Alexandria via LeMat-Bulk, functional GGA-PBE.

Calculated values
Energy of formation from the pure elements in eV per formula unit: 1.8
M_tot in Bohr magnetons per cell: 0.0

Unit cell a=7.469 b=7.469 c=3.030 alpha=90.00 beta=90.00 gamma=90.00
Space group P4/mbm (No. 127)
Symmetry-distinct sites (fractional):
Li: 0.147 0.353 0.000 [4 per cell]
Mn: 0.000 0.000 0.500 [2 per cell]
In: 0.156 0.656 0.500 [4 per cell]

Record 16
An optimized crystal structure of ErTh2. Source: Alexandria via LeMat-Bulk, functional GGA-PBE.

Calculated values
ΔE to the lowest computed polymorph in meV/atom: 0
Energy of formation from the pure elements in eV per formula unit: 0.1
M_tot in Bohr magnetons per cell: 0.0

Unit cell a=3.560 b=3.560 c=15.071 alpha=90.00 beta=90.00 gamma=90.00
Space group I4/mmm (No. 139)
Symmetry-distinct sites (fractional):
Er: 0.000 0.000 0.000 [2 per cell]
Th: 0.000 0.000 0.332 [4 per cell]

Record 17
An optimized crystal structure of SiAuCl2. Source: Alexandria via LeMat-Bulk, functional GGA-PBE.

Calculated values
ΔE to the lowest computed polymorph in meV/atom: 681
M_tot in Bohr magnetons per cell: 0.0
Formation energy (no corrections) in eV per atom: 0.2824

Unit cell a=3.170 b=4.360 c=5.996 alpha=90.00 beta=90.00 gamma=90.00
Space group Pmmm (No. 47)
Symmetry-distinct sites (fractional):
Si: 0.000 0.000 0.000 [1 per cell]
Au: 0.500 0.000 0.500 [1 per cell]
Cl: 0.000 0.500 0.500 [1 per cell]
Cl: 0.500 0.500 0.000 [1 per cell]

Record 18
An optimized crystal structure of Hf2Pt2W. Source: Alexandria via LeMat-Bulk, functional GGA-PBE.

Calculated values
ΔE to the lowest computed polymorph in meV/atom: 359
Energy of formation from the pure elements in eV per formula unit: -0.8
M_tot in Bohr magnetons per cell: 0.0

Unit cell a=3.667 b=3.667 c=14.515 alpha=90.00 beta=90.00 gamma=90.00
Space group I4/mmm (No. 139)
Symmetry-distinct sites (fractional):
Hf: 0.000 0.000 0.104 [4 per cell]
Pt: 0.000 0.500 0.250 [4 per cell]
W: 0.000 0.000 0.500 [2 per cell]

Record 19
An optimized crystal structure of Na3Y3TiSe8. Source: Alexandria via LeMat-Bulk, functional GGA-PBE.

Calculated values
M_tot in Bohr magnetons per cell: 0.0
Formation energy (no corrections) in eV per atom: -1.5576

Unit cell a=8.0947 b=8.0947 c=21.3161 alpha=90.00 beta=90.00 gamma=120.00
Space group R-3m (No. 166, hexagonal axes)
Symmetry-distinct sites (fractional):
Na: 0.0000 0.5000 0.0000 [9 per cell]
Y: 0.0000 0.5000 0.5000 [9 per cell]
Ti: 0.0000 0.0000 0.5000 [3 per cell]
Se: 0.0000 0.0000 0.2439 [6 per cell]
Se: 0.0259 0.5130 0.2382 [18 per cell]

Record 20
An optimized crystal structure of Li2MgBe. Source: Alexandria via LeMat-Bulk, functional GGA-PBE.

Calculated values
ΔE to the lowest computed polymorph in meV/atom: 48
Energy of formation from the pure elements in eV per formula unit: 0.8
M_tot in Bohr magnetons per cell: 0.0

Unit cell a=3.222 b=4.340 c=4.528 alpha=90.00 beta=90.00 gamma=90.00
Space group Pmmm (No. 47)
Symmetry-distinct sites (fractional):
Li: 0.000 0.000 0.000 [1 per cell]
Li: 0.500 0.500 0.000 [1 per cell]
Mg: 0.000 0.500 0.500 [1 per cell]
Be: 0.500 0.000 0.500 [1 per cell]